# PBE CsNa13, relaxed
# Energy of formation from the pure elements: 0.03 eV/atom
# Volume: 4829.84 Å³ per cell
# Calculated total energy: -141.05 eV for the cell shown
data_CsNa13
_chemical_formula_sum 'Cs8 Na104'
_cell_length_a 16.9035
_cell_length_b 16.9035
_cell_length_c 16.9035
_cell_angle_alpha 90.00
_cell_angle_beta 90.00
_cell_angle_gamma 90.00
_symmetry_space_group_name_H-M 'F m -3 c'
_symmetry_Int_Tables_number 226
_symmetry_space_group_name_Hall '-F 4a 2 3'
loop_
_atom_site_label
_atom_site_type_symbol
_atom_site_fract_x
_atom_site_fract_y
_atom_site_fract_z
Cs1 Cs 0.2500 0.2500 0.2500
Na1 Na 0.0000 0.0000 0.0000
Na2 Na 0.0000 0.1172 0.1803